{
  "formula": "SmTm2WO8",
  "functional": "GGA+U",
  "state": "optimized geometry",
  "sg": "P2/m (10)",
  "final_energy_ev_per_atom": -7.9106,
  "lattice": [[-4.766, -0.323, -1.474], [1.558, -0.966, -4.651], [0.022, -6.731, 1.405]],
  "species": ["W", "Tm", "O", "O", "O", "Sm", "O", "O", "O", "Tm", "O", "O"],
  "frac_coords": [[0.000, 0.000, 0.000], [0.500, 0.500, 0.757], [0.814, 0.187, 0.791], [0.186, 0.813, 0.209], [0.814, 0.187, 0.209], [0.000, 0.000, 0.500], [0.720, 0.721, 0.000], [0.681, 0.683, 0.500], [0.186, 0.813, 0.791], [0.500, 0.500, 0.243], [0.319, 0.317, 0.500], [0.280, 0.279, 0.000]]
}